Below is crystalline Fe3Cu2SbP6O24 at its relaxed geometry, with properties calculated at the PBE+U level.

Summary:
total moment = 0.4739 μB per atom
electronic total energy = -244.4 eV for the cell shown
ρ = 3618 kg/m³
DOS at the Fermi energy = 0.350 states/eV/atom
SG = R3 (146)

```
Fe3Cu2SbP6O24
1.0
4.324 2.497 6.987
-4.324 2.497 6.987
0.000 -4.993 6.987
Fe Cu Sb P O
3 2 1 6 24
direct
0.000 0.000 0.000
0.212 0.212 0.212
0.713 0.713 0.713
0.350 0.350 0.350
0.856 0.856 0.856
0.498 0.498 0.498
0.103 0.401 0.816
0.309 0.901 0.610
0.401 0.816 0.103
0.610 0.309 0.901
0.816 0.103 0.401
0.901 0.610 0.309
0.046 0.244 0.848
0.094 0.446 0.295
0.115 0.910 0.770
0.174 0.361 0.967
0.244 0.848 0.046
0.270 0.416 0.613
0.295 0.094 0.446
0.345 0.742 0.543
0.361 0.967 0.174
0.416 0.613 0.270
0.446 0.295 0.094
0.469 0.854 0.672
0.543 0.345 0.742
0.599 0.794 0.947
0.613 0.270 0.416
0.672 0.469 0.854
0.742 0.543 0.345
0.770 0.115 0.910
0.794 0.947 0.599
0.848 0.046 0.244
0.854 0.672 0.469
0.910 0.770 0.115
0.947 0.599 0.794
0.967 0.174 0.361
```